[1]
This record from Alexandria via LeMat-Bulk describes an optimized crystal structure of NbCuAg2. The functional is GGA-PBEsol.

It has space group Fm-3m (No. 225), with a = 6.3130 Å, b = 6.3130 Å, c = 6.3130 Å, α = 90.00°, β = 90.00° and γ = 90.00°. Symmetry generates all atoms from Nb at (0.0000, 0.0000, 0.0000), Cu at (0.0000, 0.0000, 0.5000) and Ag at (0.2500, 0.2500, 0.2500).

The value obtained for the magnetic moment is 0.00 μB/f.u. The calculation puts the formation enthalpy at 0 K at 0.36 eV per atom.

[2]
This record from Alexandria via LeMat-Bulk describes an optimized crystal structure of NbCu2Ag. The functional is GGA-PBEsol.

It has space group Fm-3m (No. 225), with a = 6.0947 Å, b = 6.0947 Å, c = 6.0947 Å, α = 90.00°, β = 90.00° and γ = 90.00°. Symmetry generates all atoms from Nb at (0.0000, 0.0000, 0.0000), Cu at (0.2500, 0.2500, 0.2500) and Ag at (0.0000, 0.0000, 0.5000).

The value obtained for the magnetic moment is 0.00 μB/f.u. The calculation puts the formation enthalpy at 0 K at 0.16 eV per atom.

[3]
This record from Alexandria via LeMat-Bulk describes an optimized crystal structure of Nd2Cu5Ag5. The functional is GGA-PBEsol.

It has space group Pmmm (No. 47), with a = 4.3611 Å, b = 5.1857 Å, c = 9.2341 Å, α = 90.00°, β = 90.00° and γ = 90.00°. Symmetry generates all atoms from Nd at (0.0000, 0.0000, 0.0000), Nd at (0.0000, 0.5000, 0.5000), Cu at (0.5000, 0.0000, 0.5000), Cu at (0.5000, 0.2494, 0.2600), Ag at (0.0000, 0.0000, 0.3334), Ag at (0.0000, 0.5000, 0.1781) and Ag at (0.5000, 0.5000, 0.0000).

The value obtained for the magnetic moment is 0.00 μB/f.u. The calculation puts the formation enthalpy at 0 K at -0.09 eV per atom.

[4]
This record from Alexandria via LeMat-Bulk describes an optimized crystal structure of CuNiAg. The functional is GGA-PBEsol.

It has space group I4mm (No. 107), with a = 2.6882 Å, b = 2.6882 Å, c = 10.5489 Å, α = 90.00°, β = 90.00° and γ = 90.00°. Symmetry generates all atoms from Cu at (0.0000, 0.0000, 0.0000), Ni at (0.0000, 0.0000, 0.6436) and Ag at (0.0000, 0.0000, 0.3201).

The value obtained for the magnetic moment is 0.00 μB/f.u. The calculation puts the formation enthalpy at 0 K at 0.15 eV per atom.

[5]
This record from Alexandria via LeMat-Bulk describes an optimized crystal structure of CuNi2Ag. The functional is GGA-PBEsol.

It has space group C2/m (No. 12), with a = 5.0262 Å, b = 8.5932 Å, c = 2.5430 Å, α = 90.00°, β = 116.73° and γ = 90.00°. Symmetry generates all atoms from Cu at (0.0000, 0.0000, 0.0000), Ni at (0.2500, 0.2500, 0.5000) and Ag at (0.0000, 0.5000, 0.0000).

The value obtained for the magnetic moment is 0.38 μB/f.u. The calculation puts the formation enthalpy at 0 K at 0.24 eV per atom.

[6]
This record from Alexandria via LeMat-Bulk describes an optimized crystal structure of CuAg2O2. The functional is GGA-PBEsol.

It has space group Immm (No. 71), with a = 2.8935 Å, b = 4.4694 Å, c = 9.6626 Å, α = 90.00°, β = 90.00° and γ = 90.00°. Symmetry generates all atoms from Cu at (0.0000, 0.0000, 0.0000), Ag at (0.0000, 0.0000, 0.3541) and O at (0.0000, 0.5000, 0.3657).

The value obtained for the magnetic moment is 0.42 μB/f.u. The value obtained for the uncorrected formation energy is -99.9 kJ/mol of formula units.

Look up the magnetic moment of the second one. 0.00 μB/f.u.

The highest magnetic moment belongs to which entry? CuAg2O2

Look up the magnetic moment of the fifth one. 0.38 μB/f.u.